Run P
Density functional theory data (SCAN) for a PBEsol-optimized structure of Sb2TeP.

a b c (Å): 3.5165 5.0154 6.2449
angles (deg): 113.68 106.35 90.00
Fractional positions:
Sb: 0.3025 0.3025 0.6050
Sb: 0.6975 0.6975 0.3950
Te: 0.5000 0.0000 0.0000
P: 0.0000 0.5000 0.0000

The calculation puts the density of states at the Fermi level at 2.25 states/eV/f.u.

Run Q
Density functional theory data (SCAN) for a PBEsol-optimized structure of Sb2TeP.

a b c (Å): 4.2434 4.2434 7.0103
angles (deg): 72.38 72.38 60.00
Fractional positions:
Sb: 0.7361 0.7361 0.7917
Sb: 0.2639 0.2639 0.2083
Te: 0.5000 0.5000 0.5000
P: 0.0000 0.0000 0.0000

The calculation puts the density of states at the Fermi level at 1.78 states/eV/f.u.

Stability check: which of them is least stable? run P.

Run P
Density functional theory data (SCAN) for a PBEsol-optimized structure of Sb2TeP.

a b c (Å): 3.5455 3.5455 7.8029
angles (deg): 90.00 90.00 90.00
Fractional positions:
P: 0.5000 0.5000 0.8059
Sb: 0.5000 0.5000 0.2600
Sb: 0.0000 0.0000 0.9453
Te: 0.0000 0.0000 0.4888

The calculation puts the density of states at the Fermi level at 1.98 states/eV/f.u.

Run Q
Density functional theory data (SCAN) for a PBEsol-optimized structure of Sb2TeP.

a b c (Å): 4.2168 4.2168 6.0955
angles (deg): 90.00 90.00 90.00
Fractional positions:
Sb: 0.5000 0.5000 0.3225
Sb: 0.0000 0.0000 0.8870
P: 0.5000 0.5000 0.9021
Te: 0.0000 0.0000 0.3884

The calculation puts the density of states at the Fermi level at 2.36 states/eV/f.u.

Stability check: which of them is least stable? run P.

Run P
Density functional theory data (SCAN) for a PBEsol-optimized structure of TlSb2P.

a b c (Å): 4.4141 4.4141 4.9610
angles (deg): 90.00 90.00 90.00
Fractional positions:
Sb: 0.0000 0.5000 0.0000
Sb: 0.5000 0.0000 0.0000
P: 0.0000 0.0000 0.5000
Tl: 0.5000 0.5000 0.5000

The calculation puts the density of states at the Fermi level at 1.82 states/eV/f.u.

Run Q
Density functional theory data (SCAN) for a PBEsol-optimized structure of TlSb2P.

a b c (Å): 3.7081 3.7081 8.8835
angles (deg): 77.95 77.95 60.00
Fractional positions:
Sb: 0.7459 0.7459 0.7624
Sb: 0.9848 0.9848 0.0455
P: 0.2598 0.2598 0.2205
Tl: 0.5095 0.5095 0.4716

The calculation puts the density of states at the Fermi level at 2.03 states/eV/f.u.

Stability check: which of them is least stable? run P.

Run P
Density functional theory data (SCAN) for a PBEsol-optimized structure of TlSbP2.

a b c (Å): 3.3534 4.9324 4.9283
angles (deg): 90.00 90.00 90.00
Fractional positions:
P: 0.0000 0.5000 0.5000
P: 0.0000 0.0000 0.0000
Sb: 0.5000 0.5000 0.0000
Tl: 0.5000 0.0000 0.5000

The calculation puts the density of states at the Fermi level at 2.56 states/eV/f.u.

Run Q
Density functional theory data (SCAN) for a PBEsol-optimized structure of TlSbP2.

a b c (Å): 3.8937 3.8937 6.9828
angles (deg): 73.81 73.81 60.00
Fractional positions:
P: 0.2444 0.2444 0.2669
P: 0.7556 0.7556 0.7331
Sb: 0.5000 0.5000 0.5000
Tl: 0.0000 0.0000 0.0000

The calculation puts the density of states at the Fermi level at 1.26 states/eV/f.u.

Run R
Density functional theory data (SCAN) for a PBEsol-optimized structure of TlSbP2.

a b c (Å): 3.2266 5.1985 6.1393
angles (deg): 112.18 90.00 108.08
Fractional positions:
P: 0.7105 0.4210 0.1501
P: 0.0515 0.1031 0.1356
Tl: 0.2773 0.5546 0.7726
Sb: 0.4606 0.9213 0.4418

The calculation puts the density of states at the Fermi level at 1.87 states/eV/f.u.

Stability check: which of them is least stable? run P.

Run P
Density functional theory data (SCAN) for a PBEsol-optimized structure of Zn2SbP.

a b c (Å): 3.5837 5.0481 5.0481
angles (deg): 63.18 69.21 69.21
Fractional positions:
Zn: 0.2164 0.7836 0.7836
Zn: 0.7836 0.2164 0.2164
P: 0.5000 0.0000 0.0000
Sb: 0.0000 0.5000 0.5000

The calculation puts the density of states at the Fermi level at 1.54 states/eV/f.u.

Run Q
Density functional theory data (SCAN) for a PBEsol-optimized structure of Zn2SbP.

a b c (Å): 3.0740 3.7705 6.6117
angles (deg): 90.00 90.00 90.00
Fractional positions:
Sb: 0.5000 0.5000 0.8053
P: 0.0000 0.0000 0.3858
Zn: 0.5000 0.5000 0.2811
Zn: 0.0000 0.0000 0.0277

The calculation puts the density of states at the Fermi level at 1.43 states/eV/f.u.

Stability check: which of them is least stable? run P.

Run P
Density functional theory data (SCAN) for a PBEsol-optimized structure of Zn2SbP.

a b c (Å): 4.1780 4.5637 4.5637
angles (deg): 106.46 104.98 104.98
Fractional positions:
P: 0.5000 0.0000 0.0000
Zn: 0.0000 0.5000 0.0000
Zn: 0.0000 0.0000 0.5000
Sb: 0.5000 0.5000 0.5000

The calculation puts the density of states at the Fermi level at 1.40 states/eV/f.u.

Run Q
Density functional theory data (SCAN) for a PBEsol-optimized structure of Zn2SbP.

a b c (Å): 4.6621 4.6621 4.6621
angles (deg): 60.00 60.00 60.00
Fractional positions:
P: 0.0000 0.0000 0.0000
Sb: 0.5000 0.5000 0.5000
Zn: 0.2500 0.2500 0.2500
Zn: 0.7500 0.7500 0.7500

The calculation puts the density of states at the Fermi level at 2.30 states/eV/f.u.

Stability check: which of them is least stable? run Q.